Material: In2IrCl
Method: DFT, GGA-PBE
State: optimized geometry

Cell and atoms, written as extended XYZ:
```
4
Lattice="8.039 0.024 -0.001 7.394 3.156 -0.001 0.002 0.000 3.814" Properties=species:S:1:pos:R:3 pbc="T T T"
Cl 3.016 0.621 0.474
In 12.638 2.604 2.382
Ir 7.067 1.456 2.384
In 0.431 0.089 0.478
```

Calculated values
As for the space-group type: Amm2. For the formation energy from raw total energies, the calculation gives -0.745 eV per formula unit. The polymorph energy (0 for the lowest one) comes out at 94 meV per atom.

---

Material: InIrCl2
Method: DFT, GGA-PBE
State: optimized geometry

Cell and atoms, written as extended XYZ:
```
4
Lattice="3.490 -0.013 0.000 -1.821 2.978 0.000 0.000 0.000 9.145" Properties=species:S:1:pos:R:3 pbc="T T T"
In 0.835 1.482 2.286
Cl 0.000 0.000 5.237
Cl 0.000 0.000 8.481
Ir 0.835 1.482 6.859
```

Calculated values
As for the space-group type: Cmmm. For the formation energy from raw total energies, the calculation gives 0.520 eV per formula unit. The polymorph energy (0 for the lowest one) comes out at 425 meV per atom.

---

Material: InIrCl2
Method: DFT, GGA-PBE
State: optimized geometry

Cell and atoms, written as extended XYZ:
```
4
Lattice="-3.168 -3.552 -1.363 0.530 0.959 5.362 -2.589 1.997 1.019" Properties=species:S:1:pos:R:3 pbc="T T T"
Cl -2.878 -0.777 -0.172
Cl 0.000 0.000 0.000
In -1.029 1.478 3.190
Ir -1.319 -1.297 1.999
```

Calculated values
As for the space-group type: C2/m. For the formation energy from raw total energies, the calculation gives 1.366 eV per formula unit. The polymorph energy (0 for the lowest one) comes out at 637 meV per atom.

---

Material: In2IrCl
Method: DFT, GGA-PBE
State: optimized geometry

Cell and atoms, written as extended XYZ:
```
4
Lattice="-3.323 -3.560 -0.381 -3.851 0.559 -2.953 -0.321 -2.611 -4.116" Properties=species:S:1:pos:R:3 pbc="T T T"
In -1.874 -1.403 -1.862
In -5.621 -4.209 -5.587
Ir -3.747 -2.806 -3.725
Cl 0.000 0.000 0.000
```

Calculated values
As for the space-group type: Fm-3m. For the formation energy from raw total energies, the calculation gives 0.912 eV per formula unit. The polymorph energy (0 for the lowest one) comes out at 508 meV per atom.

---

Material: InIrCl2
Method: DFT, GGA-PBE
State: optimized geometry

Cell and atoms, written as extended XYZ:
```
4
Lattice="6.031 2.127 7.279 7.833 2.997 4.854 5.708 4.994 6.030" Properties=species:S:1:pos:R:3 pbc="T T T"
Cl 1.548 0.800 1.436
Ir 0.000 0.000 0.000
In 9.786 5.059 9.082
Cl 18.025 9.318 16.727
```

Calculated values
As for the space-group type: R-3m. For the formation energy from raw total energies, the calculation gives 0.387 eV per formula unit. The polymorph energy (0 for the lowest one) comes out at 392 meV per atom.

---

Material: In2IrCl
Method: DFT, GGA-PBE
State: optimized geometry

Cell and atoms, written as extended XYZ:
```
4
Lattice="3.275 -0.017 0.000 0.021 3.275 0.000 0.000 0.000 8.230" Properties=species:S:1:pos:R:3 pbc="T T T"
In 0.000 0.000 8.081
Cl 1.648 1.629 6.072
Ir 0.000 0.000 3.908
In 1.648 1.629 2.515
```

Calculated values
As for the space-group type: P4mm. For the formation energy from raw total energies, the calculation gives 0.841 eV per formula unit. The polymorph energy (0 for the lowest one) comes out at 490 meV per atom.

---

Material: InIrCl2
Method: DFT, GGA-PBE
State: optimized geometry

Cell and atoms, written as extended XYZ:
```
4
Lattice="4.156 -0.001 0.004 2.882 2.995 0.004 3.384 1.439 8.279" Properties=species:S:1:pos:R:3 pbc="T T T"
Cl 6.843 2.911 0.685
Cl 8.042 3.421 5.734
In 4.901 2.085 3.787
Ir 2.885 1.227 2.233
```

Calculated values
As for the space-group type: Cm. For the formation energy from raw total energies, the calculation gives -0.954 eV per formula unit. The polymorph energy (0 for the lowest one) comes out at 57 meV per atom.

---

Material: In2IrCl
Method: DFT, GGA-PBE
State: optimized geometry

Cell and atoms, written as extended XYZ:
```
4
Lattice="-5.112 5.174 4.145 -7.489 3.742 -0.075 5.568 -6.239 -0.403" Properties=species:S:1:pos:R:3 pbc="T T T"
Cl -4.544 1.287 0.919
In -12.426 8.792 4.013
In -2.086 1.104 2.618
Ir -6.880 4.868 2.222
```

Calculated values
As for the space-group type: Imm2. For the formation energy from raw total energies, the calculation gives -0.553 eV per formula unit. The polymorph energy (0 for the lowest one) comes out at 142 meV per atom.

---

Material: InIrCl2
Method: DFT, GGA-PBE
State: optimized geometry

Cell and atoms, written as extended XYZ:
```
4
Lattice="-0.255 8.016 -1.667 -3.223 7.502 -0.653 1.467 -0.303 4.139" Properties=species:S:1:pos:R:3 pbc="T T T"
Ir -0.503 3.804 0.455
Cl -0.203 1.534 0.182
In -1.508 11.411 1.365
Cl -0.802 6.074 0.728
```

Calculated values
As for the space-group type: Immm. For the formation energy from raw total energies, the calculation gives -1.181 eV per formula unit. The polymorph energy (0 for the lowest one) comes out at 0 meV per atom.

---

Material: In2IrCl
Method: DFT, GGA-PBE
State: optimized geometry

Cell and atoms, written as extended XYZ:
```
8
Lattice="6.305 0.000 0.000 0.000 6.305 0.000 3.153 3.153 6.397" Properties=species:S:1:pos:R:3 pbc="T T T"
Cl 3.153 3.153 0.000
In 4.729 4.408 4.798
In 1.256 4.729 1.599
Cl 3.153 6.305 3.199
Ir 0.000 0.000 0.000
Ir 6.305 3.153 3.199
In 7.881 8.202 4.798
In 5.049 1.576 1.599
```

Calculated values
As for the space-group type: I-42d. For the formation energy from raw total energies, the calculation gives 0.350 eV per formula unit. The polymorph energy (0 for the lowest one) comes out at 367 meV per atom.

---

Material: InIrCl2
Method: DFT, GGA-PBE
State: optimized geometry

Cell and atoms, written as extended XYZ:
```
4
Lattice="-3.503 0.065 1.163 -0.491 -3.422 -1.288 2.098 -2.740 6.477" Properties=species:S:1:pos:R:3 pbc="T T T"
Cl -1.289 -2.604 2.125
Cl 1.945 -2.540 6.005
Ir -0.609 -3.491 4.222
In 1.204 -1.572 3.716
```

Calculated values
As for the space-group type: P4mm. For the formation energy from raw total energies, the calculation gives 0.348 eV per formula unit. The polymorph energy (0 for the lowest one) comes out at 382 meV per atom.

---

Material: In4IrCl2
Method: DFT, GGA-PBE
State: optimized geometry

Cell and atoms, written as extended XYZ:
```
7
Lattice="5.199 0.000 0.000 0.000 5.199 0.000 -2.599 -2.599 8.180" Properties=species:S:1:pos:R:3 pbc="T T T"
Ir 0.000 0.000 0.000
In 2.599 2.599 5.584
Cl 2.599 2.599 2.961
In 0.000 2.599 0.000
Cl 0.000 0.000 5.219
In 2.599 0.000 0.000
In 0.000 0.000 2.597
```

Calculated values
As for the space-group type: I4/mmm. For the formation energy from raw total energies, the calculation gives -2.856 eV per formula unit.

---

Material: InIrCl2
Method: DFT, GGA-PBE
State: optimized geometry

Cell and atoms, written as extended XYZ:
```
4
Lattice="-1.856 -5.977 0.227 1.642 -3.317 5.052 -3.134 4.887 -2.347" Properties=species:S:1:pos:R:3 pbc="T T T"
Ir -0.799 -1.538 2.672
Cl -0.021 -0.918 0.521
Cl -0.086 -3.729 2.118
In -2.548 -2.868 0.260
```

Calculated values
As for the space-group type: Immm. For the formation energy from raw total energies, the calculation gives -0.425 eV per formula unit. The polymorph energy (0 for the lowest one) comes out at 189 meV per atom.

---

Material: In2IrCl
Method: DFT, GGA-PBE
State: optimized geometry

Cell and atoms, written as extended XYZ:
```
4
Lattice="-0.026 -4.390 -1.734 0.261 -0.348 4.699 -3.913 2.310 -1.276" Properties=species:S:1:pos:R:3 pbc="T T T"
Ir -1.767 -0.204 2.453
In 0.118 -2.369 1.483
In 0.000 0.000 0.000
Cl -1.911 -2.224 -0.763
```

Calculated values
As for the space-group type: I4/mmm. For the formation energy from raw total energies, the calculation gives 0.919 eV per formula unit. The polymorph energy (0 for the lowest one) comes out at 509 meV per atom.

---

Material: InIrCl2
Method: DFT, GGA-PBE
State: optimized geometry

Cell and atoms, written as extended XYZ:
```
4
Lattice="-2.114 0.644 2.179 -3.561 -3.222 -2.501 1.442 -3.477 2.426" Properties=species:S:1:pos:R:3 pbc="T T T"
Ir -1.059 -3.350 -0.038
Cl -2.837 -1.289 -0.161
In -0.336 -1.417 2.303
Cl 0.000 0.000 0.000
```

Calculated values
As for the space-group type: Pmmm. For the formation energy from raw total energies, the calculation gives 1.299 eV per formula unit. The polymorph energy (0 for the lowest one) comes out at 620 meV per atom.